Entry 1:
TiCdCuIr2 | PBE | optimized geometry

Lattice parameters (Å, degrees): 4.5894 4.5894 4.6265 90.00 90.00 90.00
Fractional coordinates of all 5 atoms:
Ti (0.0000, 0.0000, 0.0000)
Cd (0.5000, 0.5000, 0.5000)
Cu (0.0000, 0.0000, 0.5000)
Ir (0.0000, 0.5000, 0.0000)
Ir (0.5000, 0.0000, 0.0000)

ΔE_f, eV per formula unit: 4.2
Magnetic moment, μB per atom: 0.0000

---

Entry 2:
Tm4CdCu2Ir | PBE | optimized geometry

Lattice parameters (Å, degrees): 8.5531 8.5531 8.5531 33.43 33.43 33.43
Fractional coordinates of all 8 atoms:
Tm (0.1169, 0.1169, 0.1169)
Tm (0.3687, 0.3687, 0.3687)
Tm (0.6313, 0.6313, 0.6313)
Tm (0.8831, 0.8831, 0.8831)
Cd (0.5000, 0.5000, 0.5000)
Cu (0.2424, 0.2424, 0.2424)
Cu (0.7576, 0.7576, 0.7576)
Ir (0.0000, 0.0000, 0.0000)

ΔE_f, eV per formula unit: -3.9
Magnetic moment, μB per atom: 0.0000

---

Entry 3:
YCdCuIr2 | PBE | optimized geometry

Lattice parameters (Å, degrees): 5.0083 5.0083 4.9053 90.00 90.00 90.00
Fractional coordinates of all 5 atoms:
Y (0.0000, 0.0000, 0.0000)
Cd (0.5000, 0.5000, 0.5000)
Cu (0.0000, 0.0000, 0.5000)
Ir (0.0000, 0.5000, 0.0000)
Ir (0.5000, 0.0000, 0.0000)

ΔE_f, eV per formula unit: 7.1
Magnetic moment, μB per atom: 0.0000

---

Entry 4:
ZnCdCuIr | PBE | optimized geometry

Lattice parameters (Å, degrees): 4.4024 4.4024 4.4024 60.00 60.00 60.00
Fractional coordinates of all 4 atoms:
Zn (0.0000, 0.0000, 0.0000)
Cd (0.2500, 0.2500, 0.2500)
Cu (0.5000, 0.5000, 0.5000)
Ir (0.7500, 0.7500, 0.7500)

ΔE_f, eV per formula unit: 0.2
Magnetic moment, μB per atom: 0.0000

---

Entry 5:
KCdCu2 | PBE | optimized geometry

Lattice parameters (Å, degrees): 4.9743 4.9743 4.9743 60.00 60.00 60.00
Fractional coordinates of all 4 atoms:
K (0.0000, 0.0000, 0.0000)
Cd (0.7500, 0.7500, 0.7500)
Cu (0.2500, 0.2500, 0.2500)
Cu (0.5000, 0.5000, 0.5000)

ΔE_f, eV per formula unit: 2.1
Magnetic moment, μB per atom: 0.0000

---

Entry 6:
KCdCu2 | PBE | optimized geometry

Lattice parameters (Å, degrees): 5.2042 5.2042 5.2042 125.70 112.24 92.17
Fractional coordinates of all 4 atoms:
K (0.0000, 0.0000, 0.0000)
Cd (0.5000, 0.5000, 0.0000)
Cu (0.3287, 0.8287, 0.5000)
Cu (0.6713, 0.1713, 0.5000)

ΔE_f, eV per formula unit: 1.6
Magnetic moment, μB per atom: 0.0000

---

Entry 7:
KCdCu2 | PBE | optimized geometry

Lattice parameters (Å, degrees): 5.3274 5.3274 5.3274 130.06 130.06 73.30
Fractional coordinates of all 4 atoms:
K (0.0000, 0.0000, 0.0000)
Cd (0.2500, 0.7500, 0.5000)
Cu (0.5000, 0.5000, 0.0000)
Cu (0.7500, 0.2500, 0.5000)

ΔE_f, eV per formula unit: 2.0
Magnetic moment, μB per atom: 0.0000

---

Entry 8:
K2CdCu2 | PBE | optimized geometry

Lattice parameters (Å, degrees): 11.5849 11.5849 11.5849 162.57 162.57 24.74
Fractional coordinates of all 5 atoms:
K (0.1240, 0.1240, 0.0000)
K (0.8760, 0.8760, 0.0000)
Cd (0.5000, 0.5000, 0.0000)
Cu (0.2500, 0.7500, 0.5000)
Cu (0.7500, 0.2500, 0.5000)

ΔE_f, eV per formula unit: 1.2
Magnetic moment, μB per atom: 0.0000

---

Entry 9:
K2CdCu2 | PBE | optimized geometry

Lattice parameters (Å, degrees): 5.9410 5.9410 5.9410 114.33 114.33 100.13
Fractional coordinates of all 5 atoms:
K (0.2500, 0.7500, 0.5000)
K (0.7500, 0.2500, 0.5000)
Cd (0.0000, 0.0000, 0.0000)
Cu (0.3454, 0.3454, 0.0000)
Cu (0.6546, 0.6546, 0.0000)

ΔE_f, eV per formula unit: 1.5
Magnetic moment, μB per atom: 0.0000

---

Entry 10:
K2CdCu2 | PBE | optimized geometry

Lattice parameters (Å, degrees): 7.2256 7.2256 5.2440 90.00 90.00 90.00
Fractional coordinates of all 10 atoms:
K (0.1793, 0.3207, 0.0000)
K (0.3207, 0.8207, 0.0000)
K (0.6793, 0.1793, 0.0000)
K (0.8207, 0.6793, 0.0000)
Cd (0.0000, 0.0000, 0.5000)
Cd (0.5000, 0.5000, 0.5000)
Cu (0.1203, 0.6203, 0.5000)
Cu (0.3797, 0.1203, 0.5000)
Cu (0.6203, 0.8797, 0.5000)
Cu (0.8797, 0.3797, 0.5000)

ΔE_f, eV per formula unit: 1.3
Magnetic moment, μB per atom: 0.0000

---

Entry 11:
KCdCu2 | PBE | optimized geometry

Lattice parameters (Å, degrees): 2.9514 4.3667 7.1220 90.00 101.68 90.00
Fractional coordinates of all 4 atoms:
K (0.0000, 0.0000, 0.0000)
Cd (0.6862, 0.5000, 0.3715)
Cu (0.2589, 0.0000, 0.5252)
Cu (0.3464, 0.5000, 0.6987)

ΔE_f, eV per formula unit: 1.2
Magnetic moment, μB per atom: 0.0000

---

Entry 12:
KCdCu2 | PBE | optimized geometry

Lattice parameters (Å, degrees): 3.1059 3.5159 8.0175 90.00 90.00 90.00
Fractional coordinates of all 4 atoms:
K (0.0000, 0.0000, 0.0000)
Cd (0.5000, 0.5000, 0.3540)
Cu (0.0000, 0.0000, 0.5830)
Cu (0.5000, 0.5000, 0.6868)

ΔE_f, eV per formula unit: 0.9
Magnetic moment, μB per atom: 0.0000

---

Entry 13:
KCdCu2 | PBE | optimized geometry

Lattice parameters (Å, degrees): 9.8500 9.8500 9.8500 150.99 150.99 41.49
Fractional coordinates of all 8 atoms:
K (0.3750, 0.6250, 0.7500)
K (0.6250, 0.3750, 0.2500)
Cd (0.1250, 0.8750, 0.2500)
Cd (0.8750, 0.1250, 0.7500)
Cu (0.0000, 0.0000, 0.0000)
Cu (0.0000, 0.0000, 0.5000)
Cu (0.0000, 0.5000, 0.0000)
Cu (0.5000, 0.0000, 0.5000)

ΔE_f, eV per formula unit: 1.1
Magnetic moment, μB per atom: 0.0000

---

Entry 14:
K4CdCu | PBE | optimized geometry

Lattice parameters (Å, degrees): 7.6495 7.6495 7.6495 60.00 60.00 60.00
Fractional coordinates of all 6 atoms:
K (0.3756, 0.3756, 0.3756)
K (0.3756, 0.3756, 0.8731)
K (0.3756, 0.8731, 0.3756)
K (0.8731, 0.3756, 0.3756)
Cd (0.0000, 0.0000, 0.0000)
Cu (0.7500, 0.7500, 0.7500)

ΔE_f, eV per formula unit: 2.8
Magnetic moment, μB per atom: 0.0000

---

Entry 15:
KCdCu2 | PBE | optimized geometry

Lattice parameters (Å, degrees): 2.9391 4.0676 7.3503 90.00 90.63 90.00
Fractional coordinates of all 4 atoms:
K (0.0000, 0.0000, 0.0000)
Cd (0.0000, 0.0000, 0.5000)
Cu (0.4950, 0.5000, 0.3299)
Cu (0.5050, 0.5000, 0.6701)

ΔE_f, eV per formula unit: 1.1
Magnetic moment, μB per atom: 0.0000

---

Entry 16:
KCdCu2 | PBE | optimized geometry

Lattice parameters (Å, degrees): 6.1524 6.1524 6.1524 152.37 128.03 59.87
Fractional coordinates of all 4 atoms:
K (0.0000, 0.0000, 0.0000)
Cd (0.3020, 0.8020, 0.5000)
Cu (0.5260, 0.5260, 0.0000)
Cu (0.7089, 0.2089, 0.5000)

ΔE_f, eV per formula unit: 1.2
Magnetic moment, μB per atom: 0.0000

---

Entry 17:
KCdCu2 | PBE | optimized geometry

Lattice parameters (Å, degrees): 4.5461 4.5461 6.4894 110.63 110.63 60.13
Fractional coordinates of all 4 atoms:
K (0.0000, 0.0000, 0.0000)
Cd (0.5000, 0.5000, 0.5000)
Cu (0.1758, 0.1758, 0.5277)
Cu (0.8242, 0.8242, 0.4723)

ΔE_f, eV per formula unit: 0.5
Magnetic moment, μB per atom: 0.0000

---

Entry 18:
KCdCu2 | PBE | optimized geometry

Lattice parameters (Å, degrees): 10.0739 10.0739 10.0739 17.52 17.52 17.52
Fractional coordinates of all 4 atoms:
K (0.0000, 0.0000, 0.0000)
Cd (0.5000, 0.5000, 0.5000)
Cu (0.2405, 0.2405, 0.2405)
Cu (0.7595, 0.7595, 0.7595)

ΔE_f, eV per formula unit: 2.0
Magnetic moment, μB per atom: 0.0000

---

Entry 19:
KCdCu2 | PBE | optimized geometry

Lattice parameters (Å, degrees): 5.2377 5.2377 2.9532 90.00 90.00 90.10
Fractional coordinates of all 4 atoms:
K (0.0000, 0.0000, 0.0000)
Cd (0.5000, 0.5000, 0.0000)
Cu (0.0000, 0.5000, 0.5000)
Cu (0.5000, 0.0000, 0.5000)

ΔE_f, eV per formula unit: 1.8
Magnetic moment, μB per atom: 0.0000

---

Entry 20:
KCdCu2 | PBE | optimized geometry

Lattice parameters (Å, degrees): 4.5711 4.5711 7.2591 97.15 97.15 38.38
Fractional coordinates of all 4 atoms:
K (0.0000, 0.0000, 0.0000)
Cd (0.2199, 0.2199, 0.6302)
Cu (0.4923, 0.4923, 0.4177)
Cu (0.7676, 0.7676, 0.3314)

ΔE_f, eV per formula unit: 1.1
Magnetic moment, μB per atom: 0.0000